# 1
Here is a PBEsol-optimized structure of InCo2Os from the Alexandria database. Energies are from meta-GGA SCAN.

Cell: 2.737 2.737 8.486 Å, 80.72 80.72 60.00°
Atoms (fractional coordinates):
Os  0.000  0.000  0.000
In  0.500  0.500  0.500
Co  0.254  0.254  0.237
Co  0.746  0.746  0.763

Properties
As for the symmetry: R-3m.

# 2
Here is a PBEsol-optimized structure of CaCdBi2Au from the Alexandria database. Energies are from meta-GGA SCAN.

Cell: 5.485 5.717 5.717 Å, 90.00 90.00 90.00°
Atoms (fractional coordinates):
Cd  0.500  0.000  0.000
Bi  0.000  0.000  0.500
Bi  0.000  0.500  0.000
Au  0.500  0.500  0.500
Ca  0.000  0.000  0.000

Properties
As for the symmetry: P4/mmm.

# 3
Here is a PBEsol-optimized structure of Be2FeSiIr from the Alexandria database. Energies are from meta-GGA SCAN.

Cell: 3.828 3.828 4.092 Å, 90.00 90.00 90.00°
Atoms (fractional coordinates):
Fe  0.000  0.000  0.000
Be  0.000  0.500  0.000
Be  0.500  0.000  0.000
Ir  0.500  0.500  0.500
Si  0.000  0.000  0.500

Properties
As for the symmetry: P4/mmm. The value obtained for the uncorrected formation energy is 15.5 kcal/mol of atoms.

# 4
Here is a PBEsol-optimized structure of CsSr2Bi2 from the Alexandria database. Energies are from meta-GGA SCAN.

Cell: 3.905 10.065 10.065 Å, 90.00 90.00 90.00°
Atoms (fractional coordinates):
Bi  0.000  0.841  0.659
Bi  0.000  0.159  0.341
Bi  0.000  0.341  0.841
Bi  0.000  0.659  0.159
Sr  0.500  0.635  0.865
Sr  0.500  0.365  0.135
Sr  0.500  0.865  0.365
Sr  0.500  0.135  0.635
Cs  0.000  0.500  0.500
Cs  0.000  0.000  0.000

Properties
As for the symmetry: P4/mbm.

# 5
Here is a PBEsol-optimized structure of Li4MnCo3O8 from the Alexandria database. Energies are from meta-GGA SCAN.

Cell: 2.821 5.667 15.948 Å, 90.27 90.00 90.00°
Atoms (fractional coordinates):
O  0.500  0.735  0.504
O  0.001  0.519  0.620
O  0.499  0.226  0.256
O  0.501  0.227  0.756
O  0.001  0.978  0.631
O  0.500  0.265  0.996
O  0.001  0.022  0.869
O  0.999  0.022  0.369
O  0.500  0.735  0.004
O  0.500  0.265  0.496
O  0.001  0.482  0.880
O  0.501  0.774  0.744
O  0.999  0.518  0.120
O  0.499  0.773  0.244
O  0.999  0.481  0.380
O  0.999  0.978  0.131
Co  0.501  0.751  0.625
Co  0.501  0.250  0.875
Co  0.999  0.000  0.250
Co  0.499  0.750  0.125
Co  0.499  0.249  0.375
Co  0.001  0.000  0.750
Mn  0.000  0.500  0.000
Mn  0.000  0.500  0.500
Li  0.501  0.755  0.873
Li  0.000  0.000  0.000
Li  0.001  0.501  0.750
Li  0.501  0.246  0.627
Li  0.999  0.499  0.250
Li  0.499  0.754  0.373
Li  0.499  0.245  0.127
Li  0.000  0.000  0.500

Properties
As for the symmetry: P2/m. The value obtained for the uncorrected formation energy is -44.9 kcal/mol of atoms. As for the polymorph energy (0 for the lowest one): 0.00 kcal/mol of atoms.

# 6
Here is a PBEsol-optimized structure of CrNi2Rh from the Alexandria database. Energies are from meta-GGA SCAN.

Cell: 2.532 3.581 5.012 Å, 90.00 90.00 90.00°
Atoms (fractional coordinates):
Cr  0.500  0.500  0.500
Ni  0.000  0.000  0.262
Ni  0.000  0.000  0.738
Rh  0.500  0.500  0.000

Properties
As for the symmetry: Pmmm.

# 7
Here is a PBEsol-optimized structure of MnCr2Ni from the Alexandria database. Energies are from meta-GGA SCAN.

Cell: 2.314 3.749 4.972 Å, 90.00 90.00 90.00°
Atoms (fractional coordinates):
Cr  0.500  0.500  0.257
Cr  0.000  0.000  0.988
Ni  0.500  0.500  0.747
Mn  0.000  0.000  0.508

Properties
As for the symmetry: Pmm2.

# 8
Here is a PBEsol-optimized structure of BaSi2Os from the Alexandria database. Energies are from meta-GGA SCAN.

Cell: 4.091 5.307 5.307 Å, 71.85 67.33 67.33°
Atoms (fractional coordinates):
Si  0.342  0.658  0.658
Si  0.658  0.342  0.342
Os  0.000  0.500  0.500
Ba  0.500  0.000  0.000

Properties
As for the symmetry: Immm. The value obtained for the uncorrected formation energy is 3.6 kcal/mol of atoms.

# 9
Here is a PBEsol-optimized structure of MnTeP2O from the Alexandria database. Energies are from meta-GGA SCAN.

Cell: 4.029 4.029 5.397 Å, 90.00 90.00 90.00°
Atoms (fractional coordinates):
O  0.500  0.500  0.500
Te  0.000  0.000  0.500
P  0.500  0.000  0.000
P  0.000  0.500  0.000
Mn  0.000  0.000  0.000

Properties
As for the symmetry: P4/mmm. The value obtained for the uncorrected formation energy is 12.1 kcal/mol of atoms. As for the polymorph energy (0 for the lowest one): 15.12 kcal/mol of atoms.

# 10
Here is a PBEsol-optimized structure of MoW5 from the Alexandria database. Energies are from meta-GGA SCAN.

Cell: 3.149 3.149 9.444 Å, 90.00 90.00 90.00°
Atoms (fractional coordinates):
W  0.000  0.000  0.000
W  0.000  0.000  0.666
W  0.500  0.500  0.833
W  0.000  0.000  0.334
W  0.500  0.500  0.167
Mo  0.500  0.500  0.500

Properties
As for the symmetry: P4/mmm.

# 11
Here is a PBEsol-optimized structure of SrPCl2 from the Alexandria database. Energies are from meta-GGA SCAN.

Cell: 3.800 4.964 5.617 Å, 90.00 90.00 90.00°
Atoms (fractional coordinates):
Cl  0.500  0.500  0.209
Cl  0.000  0.000  0.982
P  0.000  0.000  0.608
Sr  0.500  0.500  0.700

Properties
As for the symmetry: Pmm2. The value obtained for the uncorrected formation energy is -25.4 kcal/mol of atoms. As for the polymorph energy (0 for the lowest one): 0.00 kcal/mol of atoms.

# 12
Here is a PBEsol-optimized structure of KLiY from the Alexandria database. Energies are from meta-GGA SCAN.

Cell: 3.482 3.482 9.042 Å, 101.10 101.10 90.00°
Atoms (fractional coordinates):
Li  0.681  0.681  0.363
Y  0.311  0.311  0.622
K  0.008  0.008  0.015

Properties
As for the symmetry: I4mm.

# 13
Here is a PBEsol-optimized structure of MnAs5 from the Alexandria database. Energies are from meta-GGA SCAN.

Cell: 3.734 4.470 7.362 Å, 90.00 104.69 90.00°
Atoms (fractional coordinates):
As  0.748  0.000  0.497
As  0.660  0.500  0.320
As  0.363  0.000  0.725
As  0.056  0.000  0.111
As  0.451  0.500  0.902
Mn  0.056  0.500  0.111

Properties
As for the symmetry: Cmmm.

# 14
Here is a PBEsol-optimized structure of Li2CrTc from the Alexandria database. Energies are from meta-GGA SCAN.

Cell: 2.542 2.542 9.593 Å, 82.39 82.39 60.00°
Atoms (fractional coordinates):
Cr  0.000  0.000  0.000
Tc  0.500  0.500  0.500
Li  0.250  0.250  0.251
Li  0.750  0.750  0.749

Properties
As for the symmetry: R-3m. As for the polymorph energy (0 for the lowest one): 3.13 kcal/mol of atoms.

# 15
Here is a PBEsol-optimized structure of BiRuO2F from the Alexandria database. Energies are from meta-GGA SCAN.

Cell: 3.946 3.946 4.139 Å, 90.00 90.00 90.00°
Atoms (fractional coordinates):
O  0.000  0.500  0.000
O  0.500  0.000  0.000
Bi  0.500  0.500  0.500
F  0.000  0.000  0.500
Ru  0.000  0.000  0.000

Properties
As for the symmetry: P4/mmm. The value obtained for the uncorrected formation energy is -18.0 kcal/mol of atoms.

# 16
Here is a PBEsol-optimized structure of RbSc3In from the Alexandria database. Energies are from meta-GGA SCAN.

Cell: 5.533 5.533 5.533 Å, 90.00 90.00 90.00°
Atoms (fractional coordinates):
In  0.000  0.000  0.000
Sc  0.000  0.500  0.000
Sc  0.500  0.000  0.000
Sc  0.000  0.000  0.500
Rb  0.500  0.500  0.500

Properties
As for the symmetry: Pm-3m.

# 17
Here is a PBEsol-optimized structure of ScRe2Au from the Alexandria database. Energies are from meta-GGA SCAN.

Cell: 2.798 2.798 9.659 Å, 81.67 81.67 60.00°
Atoms (fractional coordinates):
Re  0.749  0.749  0.754
Re  0.251  0.251  0.246
Sc  0.500  0.500  0.500
Au  0.000  0.000  0.000

Properties
As for the symmetry: R-3m. As for the polymorph energy (0 for the lowest one): 8.22 kcal/mol of atoms.

# 18
Here is a PBEsol-optimized structure of Sr2LaGePt from the Alexandria database. Energies are from meta-GGA SCAN.

Cell: 5.664 5.710 5.710 Å, 90.00 90.00 90.00°
Atoms (fractional coordinates):
Ge  0.000  0.000  0.000
La  0.500  0.000  0.000
Pt  0.500  0.500  0.500
Sr  0.000  0.500  0.000
Sr  0.000  0.000  0.500

Properties
As for the symmetry: P4/mmm.

# 19
Here is a PBEsol-optimized structure of YTl2Se from the Alexandria database. Energies are from meta-GGA SCAN.

Cell: 4.213 4.213 5.849 Å, 90.00 90.00 90.00°
Atoms (fractional coordinates):
Y  0.500  0.500  0.000
Tl  0.000  0.000  0.747
Tl  0.000  0.000  0.253
Se  0.500  0.500  0.500

Properties
As for the symmetry: P4/mmm. The value obtained for the uncorrected formation energy is -10.4 kcal/mol of atoms. As for the polymorph energy (0 for the lowest one): 5.35 kcal/mol of atoms.

# 20
Here is a PBEsol-optimized structure of Ag2CO3 from the Alexandria database. Energies are from meta-GGA SCAN.

Cell: 3.138 9.106 9.106 Å, 120.00 90.00 90.00°
Atoms (fractional coordinates):
C  0.500  0.667  0.333
C  0.000  0.333  0.667
C  0.500  0.000  0.000
O  0.000  0.261  0.502
O  0.000  0.498  0.759
O  0.500  0.569  0.170
O  0.500  0.065  0.163
O  0.500  0.837  0.902
O  0.500  0.830  0.399
O  0.500  0.098  0.935
O  0.500  0.601  0.431
O  0.000  0.241  0.739
Ag  0.000  0.335  0.028
Ag  0.500  0.334  0.324
Ag  0.000  0.693  0.665
Ag  0.000  0.972  0.307
Ag  0.500  0.990  0.666
Ag  0.500  0.676  0.010

Properties
As for the symmetry: P-6. The value obtained for the uncorrected formation energy is -18.7 kcal/mol of atoms. As for the polymorph energy (0 for the lowest one): 0.79 kcal/mol of atoms.

# 21
Here is a PBEsol-optimized structure of InAsSCl2 from the Alexandria database. Energies are from meta-GGA SCAN.

Cell: 4.766 5.035 5.035 Å, 90.00 90.00 90.00°
Atoms (fractional coordinates):
As  0.000  0.000  0.000
Cl  0.000  0.500  0.000
Cl  0.000  0.000  0.500
S  0.500  0.000  0.000
In  0.500  0.500  0.500

Properties
As for the symmetry: P4/mmm. The value obtained for the uncorrected formation energy is -9.0 kcal/mol of atoms.

# 22
Here is a PBEsol-optimized structure of Ba2AgSnGe from the Alexandria database. Energies are from meta-GGA SCAN.

Cell: 5.119 6.263 6.263 Å, 90.00 90.00 90.00°
Atoms (fractional coordinates):
Ag  0.500  0.500  0.500
Ba  0.000  0.500  0.000
Ba  0.000  0.000  0.500
Sn  0.500  0.000  0.000
Ge  0.000  0.000  0.000

Properties
As for the symmetry: P4/mmm.

# 23
Here is a PBEsol-optimized structure of AlPbC2 from the Alexandria database. Energies are from meta-GGA SCAN.

Cell: 4.228 4.228 4.228 Å, 60.00 60.00 60.00°
Atoms (fractional coordinates):
C  0.250  0.250  0.250
C  0.750  0.750  0.750
Pb  0.500  0.500  0.500
Al  0.000  0.000  0.000

Properties
As for the symmetry: Fm-3m.

# 24
Here is a PBEsol-optimized structure of TcPtPb from the Alexandria database. Energies are from meta-GGA SCAN.

Cell: 3.043 4.494 4.494 Å, 120.00 90.00 90.00°
Atoms (fractional coordinates):
Pt  0.702  0.333  0.667
Pb  0.963  0.000  0.000
Tc  0.335  0.667  0.333

Properties
As for the symmetry: P3m1.

# 25
Here is a PBEsol-optimized structure of Zn3NCl from the Alexandria database. Energies are from meta-GGA SCAN.

Cell: 4.280 4.280 4.280 Å, 90.00 90.00 90.00°
Atoms (fractional coordinates):
Zn  0.000  0.000  0.500
Zn  0.000  0.500  0.000
Zn  0.500  0.000  0.000
N  0.000  0.000  0.000
Cl  0.500  0.500  0.500

Properties
As for the symmetry: Pm-3m. The value obtained for the uncorrected formation energy is 5.4 kcal/mol of atoms.

# 26
Here is a PBEsol-optimized structure of AlFeP2Cl from the Alexandria database. Energies are from meta-GGA SCAN.

Cell: 4.233 4.233 4.900 Å, 90.00 90.00 90.00°
Atoms (fractional coordinates):
Cl  0.000  0.000  0.500
P  0.500  0.000  0.000
P  0.000  0.500  0.000
Al  0.500  0.500  0.500
Fe  0.000  0.000  0.000

Properties
As for the symmetry: P4/mmm. The value obtained for the uncorrected formation energy is 10.0 kcal/mol of atoms.

no.,calculated total energy (eV per atom)
1,-34.49
2,-52.41
3,-20.92
4,-48.67
5,-10.04
6,-21.08
7,-17.58
8,-32.71
9,-15.98
10,-63.89
11,-13.26
12,-12.50
13,-19.80
14,-14.13
15,-26.66
16,-18.87
17,-55.99
18,-35.40
19,-48.61
20,-16.07
21,-16.22
22,-33.19
23,-23.68
24,-59.82
25,-11.33
26,-10.50